[1]
Compound: Tl2HBr
Source: Alexandria
Functional: meta-GGA SCAN
Structure: PBEsol geometry

Computed properties:
- total energy (eV per atom) = -41.964

Cell lengths 5.217, 5.217, 5.217 Å; angles 60.00, 60.00, 60.00 degrees
Atoms (fractional coordinates):
1 Tl 0.250 0.250 0.250
2 Tl 0.750 0.750 0.750
3 H 0.000 0.000 0.000
4 Br 0.500 0.500 0.500

=====

[2]
Compound: NaLi2PO4
Source: Alexandria
Functional: meta-GGA SCAN
Structure: PBEsol geometry

Computed properties:
- total energy (eV per atom) = -8.118
- ΔE_f (raw) (eV/atom) = -2.5785
- density of states at the Fermi level (states/eV per atom) = 0.00

Cell lengths 9.951, 6.876, 4.912 Å; angles 90.00, 90.00, 90.00 degrees
Atoms (fractional coordinates):
1 Na 0.112 0.250 0.239
2 Na 0.388 0.750 0.739
3 Na 0.612 0.250 0.261
4 Na 0.888 0.750 0.761
5 Li 0.155 0.000 0.711
6 Li 0.155 0.500 0.711
7 Li 0.345 0.000 0.211
8 Li 0.345 0.500 0.211
9 Li 0.655 0.000 0.789
10 Li 0.655 0.500 0.789
11 Li 0.845 0.000 0.289
12 Li 0.845 0.500 0.289
13 P 0.098 0.750 0.203
14 P 0.402 0.250 0.703
15 P 0.598 0.750 0.297
16 P 0.902 0.250 0.797
17 O 0.057 0.250 0.742
18 O 0.120 0.750 0.889
19 O 0.162 0.565 0.327
20 O 0.162 0.935 0.327
21 O 0.338 0.065 0.827
22 O 0.338 0.435 0.827
23 O 0.380 0.250 0.389
24 O 0.443 0.750 0.242
25 O 0.557 0.250 0.758
26 O 0.620 0.750 0.611
27 O 0.662 0.565 0.173
28 O 0.662 0.935 0.173
29 O 0.838 0.065 0.673
30 O 0.838 0.435 0.673
31 O 0.880 0.250 0.111
32 O 0.943 0.750 0.258

=====

What did the first record say?
Compound: Tl2HBr
Source: Alexandria
Functional: meta-GGA SCAN
Structure: PBEsol geometry

Computed properties:
- total energy (eV per atom) = -41.964

Cell lengths 5.217, 5.217, 5.217 Å; angles 60.00, 60.00, 60.00 degrees
Atoms (fractional coordinates):
1 Tl 0.250 0.250 0.250
2 Tl 0.750 0.750 0.750
3 H 0.000 0.000 0.000
4 Br 0.500 0.500 0.500

=====

- Look up the total energy of the second one.
  -8.118 eV per atom

=====

- What is the total energy in the first record?
  -41.964 eV per atom

=====

- Which of these has the lowest total energy?
  Tl2HBr